# 1
Below is a relaxed MnSiRuW crystal, with properties calculated at the PBE level.

```
MnSiRuW
1.0
0.0000 3.0006 3.0006
3.0006 0.0000 3.0006
3.0006 3.0006 0.0000
Mn Si Ru W
1 1 1 1
Direct
0.0000 0.0000 0.0000 Mn
0.5000 0.5000 0.5000 Si
0.7500 0.7500 0.7500 Ru
0.2500 0.2500 0.2500 W
```

Summary:
Space-group type = F-43m
Density of states at the Fermi level = 2.66 states/eV/f.u.
Total magnetic moment = 2.17 Bohr magnetons per cell
Formation energy from raw total energies = -171 meV per atom

***

# 2
Below is a relaxed Mn4CuPb crystal, with properties calculated at the PBE level.

```
Mn4CuPb
1.0
0.0000 3.4592 3.4592
3.4592 0.0000 3.4592
3.4592 3.4592 0.0000
Mn Cu Pb
4 1 1
Direct
0.1240 0.1240 0.1240 Mn
0.1240 0.1240 0.6282 Mn
0.1240 0.6282 0.1240 Mn
0.6282 0.1240 0.1240 Mn
0.7500 0.7500 0.7500 Cu
0.5000 0.5000 0.5000 Pb
```

Summary:
Space-group type = F-43m
Density of states at the Fermi level = 9.19 states/eV/f.u.
Energy relative to the elements = 543 meV/atom
Total magnetic moment = 6.02 Bohr magnetons per cell

***

# 3
Below is a relaxed Ce8Bi2Pb crystal, with properties calculated at the PBE level.

```
Ce8Bi2Pb
1.0
7.9163 -2.7162 0.0000
7.9163 2.7162 0.0000
-3.1158 0.0000 7.0239
Ce Bi Pb
8 2 1
Direct
0.0448 0.0448 0.2833 Ce
0.1420 0.1420 0.6716 Ce
0.3150 0.3150 0.6213 Ce
0.4181 0.4181 0.0120 Ce
0.5819 0.5819 0.9880 Ce
0.6850 0.6850 0.3787 Ce
0.8580 0.8580 0.3284 Ce
0.9552 0.9552 0.7167 Ce
0.2181 0.2181 0.1477 Bi
0.7819 0.7819 0.8523 Bi
0.5000 0.5000 0.5000 Pb
```

Summary:
Space-group type = C2/m
Density of states at the Fermi level = 27.18 states/eV/f.u.
Energy relative to the elements = -334 meV/atom
Total magnetic moment = 2.49 Bohr magnetons per cell